LiCaMg2Te (PBE-GGA, optimized geometry); calculated total energy = -10.4 eV/cell
1.0
-0.610 -0.808 5.660
4.699 -1.772 0.254
1.954 5.320 0.970
Te Mg Li Ca
1 2 1 1
direct
0.000 0.000 0.000
0.500 0.000 0.000
0.000 0.000 0.500
0.000 0.500 0.000
0.500 0.500 0.500


LiCaMgTl2 (PBE-GGA, optimized geometry); formation enthalpy at 0 K = -0.189 eV per atom
1.0
-2.729 -0.458 -6.103
4.374 -3.093 -1.723
-3.275 -5.687 1.891
Tl Li Mg Ca
4 2 2 2
direct
0.269 0.750 0.740
0.269 0.750 0.260
0.731 0.250 0.260
0.731 0.250 0.740
0.000 0.500 0.000
0.000 0.000 0.000
0.629 0.750 0.000
0.371 0.250 0.000
0.784 0.750 0.500
0.216 0.250 0.500


Li2CaMg2Tl2 (PBE-GGA, optimized geometry); formation enthalpy at 0 K = -0.208 eV per atom
1.0
4.824 0.000 0.000
2.412 4.177 0.000
2.412 1.392 8.407
Li Ca Mg Tl
2 1 2 2
direct
0.570 0.570 0.290
0.430 0.430 0.710
0.000 0.000 0.000
0.137 0.137 0.590
0.863 0.863 0.410
0.258 0.258 0.227
0.742 0.742 0.773


LiCaMg2Tl5 (PBE-GGA, optimized geometry); formation enthalpy at 0 K = -0.011 eV per atom
1.0
-2.286 3.967 -2.143
-4.251 -4.126 -3.102
-1.525 0.538 8.583
Mg Tl Ca Li
2 5 1 1
direct
0.810 0.810 0.620
0.190 0.190 0.380
0.644 0.882 0.287
0.356 0.118 0.713
0.644 0.405 0.287
0.000 0.000 0.000
0.356 0.595 0.713
0.000 0.500 0.000
0.500 0.000 0.000


Copy entry 4 word for word.
LiCaMg2Tl5 (PBE-GGA, optimized geometry); formation enthalpy at 0 K = -0.011 eV per atom
1.0
-2.286 3.967 -2.143
-4.251 -4.126 -3.102
-1.525 0.538 8.583
Mg Tl Ca Li
2 5 1 1
direct
0.810 0.810 0.620
0.190 0.190 0.380
0.644 0.882 0.287
0.356 0.118 0.713
0.644 0.405 0.287
0.000 0.000 0.000
0.356 0.595 0.713
0.000 0.500 0.000
0.500 0.000 0.000